# Sr2Y2Cd

Crystalline Sr2Y2Cd at its relaxed geometry (PBE, Alexandria via LeMat-Bulk).

Values from the calculation:
Energy of formation, eV/atom: 0.51
Size of the total moment, μB/f.u.: 0.00
Symmetry: No. 139

a b c (Å): 4.5201 4.5201 9.7890
angles (deg): 76.65 76.65 90.00
With the nearest neighbours (Å) after each atom.
Positions (direct):
Y 0.4166 0.4166 0.1667  1 Y 3.09
Y 0.5834 0.5834 0.8333  1 Y 3.09
Sr 0.7500 0.2500 0.5000  4 Sr 3.20
Sr 0.2500 0.7500 0.5000  4 Sr 3.20
Cd 0.0000 0.0000 0.0000  8 Y 3.55

***

# SrY4Cd

Crystalline SrY4Cd at its relaxed geometry (PBE, Alexandria via LeMat-Bulk).

Values from the calculation:
Energy of formation, eV/atom: 0.27
Size of the total moment, μB/f.u.: 0.00
Symmetry: No. 216

a b c (Å): 6.6429 6.6429 6.6429
angles (deg): 60.00 60.00 60.00
With the nearest neighbours (Å) after each atom.
Positions (direct):
Sr 0.0000 0.0000 0.0000  12 Y 3.90, 4 Cd 4.07
Y 0.8720 0.3760 0.3760  6 Y 3.30-3.35
Y 0.3760 0.3760 0.8720  6 Y 3.30-3.35
Y 0.3760 0.8720 0.3760  6 Y 3.30-3.35
Y 0.3760 0.3760 0.3760  6 Y 3.30-3.35
Cd 0.7500 0.7500 0.7500  12 Y 3.89, 4 Sr 4.07

***

# Sr2Y2Cd

Crystalline Sr2Y2Cd at its relaxed geometry (PBE, Alexandria via LeMat-Bulk).

Values from the calculation:
Energy of formation, eV/atom: 0.16
Size of the total moment, μB/f.u.: 1.18
Symmetry: No. 127

a b c (Å): 8.0661 8.0661 6.0344
angles (deg): 90.00 90.00 90.00
With the nearest neighbours (Å) after each atom.
Positions (direct):
Y 0.3529 0.8529 0.0000  2 Cd 3.08, 1 Y 3.36
Y 0.8529 0.6471 0.0000  2 Cd 3.08, 1 Y 3.36
Y 0.6471 0.1471 0.0000  2 Cd 3.08, 1 Y 3.36
Y 0.1471 0.3529 0.0000  2 Cd 3.08, 1 Y 3.36
Sr 0.1679 0.6679 0.5000  6 Y 3.68-3.95, 1 Sr 3.83
Sr 0.6679 0.8321 0.5000  6 Y 3.68-3.95, 1 Sr 3.83
Sr 0.8321 0.3321 0.5000  6 Y 3.68-3.95, 1 Sr 3.83
Sr 0.3321 0.1679 0.5000  6 Y 3.68-3.95, 1 Sr 3.83
Cd 0.0000 0.0000 0.0000  4 Y 3.08
Cd 0.5000 0.5000 0.0000  4 Y 3.08

***

# Sr4YCd

Crystalline Sr4YCd at its relaxed geometry (PBE, Alexandria via LeMat-Bulk).

Values from the calculation:
Energy of formation, eV/atom: 0.44
Size of the total moment, μB/f.u.: 1.49
Symmetry: No. 216

a b c (Å): 7.2873 7.2873 7.2873
angles (deg): 60.00 60.00 60.00
With the nearest neighbours (Å) after each atom.
Positions (direct):
Sr 0.8733 0.3756 0.3756  6 Sr 3.63-3.66
Sr 0.3756 0.3756 0.8733  6 Sr 3.63-3.66
Sr 0.3756 0.8733 0.3756  6 Sr 3.63-3.66
Sr 0.3756 0.3756 0.3756  6 Sr 3.63-3.66
Y 0.7500 0.7500 0.7500  12 Sr 4.27, 4 Cd 4.46
Cd 0.0000 0.0000 0.0000  12 Sr 4.27, 4 Y 4.46